Entry 1:
YCd6Hg8: relaxed, PBE.

## Properties
symmetry: No. 148
formation enthalpy at 0 K: -0.032 eV/atom
density of states at the Fermi level: 0.434 states/eV per atom
total magnetization: 0.000 μB/atom

a b c (Å): 7.3515 7.3515 7.3515
angles (deg): 81.87 81.87 81.87
Last column: nearest neighbours and their distance in Å.
Atoms (fractional coordinates):
Y: 0.0000 0.0000 0.0000  8 Hg 3.06-3.19
Cd: 0.2051 0.4249 0.5826  5 Hg 2.94-3.21, 2 Cd 3.16
Cd: 0.4174 0.7949 0.5751  5 Hg 2.94-3.21, 2 Cd 3.16
Cd: 0.4249 0.5826 0.2051  5 Hg 2.94-3.21, 2 Cd 3.16
Cd: 0.5751 0.4174 0.7949  5 Hg 2.94-3.21, 2 Cd 3.16
Cd: 0.5826 0.2051 0.4249  5 Hg 2.94-3.21, 2 Cd 3.16
Cd: 0.7949 0.5751 0.4174  5 Hg 2.94-3.21, 2 Cd 3.16
Hg: 0.0766 0.8278 0.3901  4 Cd 2.94-3.17, 1 Y 3.06, 2 Hg 3.18-3.25
Hg: 0.1722 0.6099 0.9234  4 Cd 2.94-3.17, 1 Y 3.06, 2 Hg 3.18-3.25
Hg: 0.2215 0.2215 0.2215  1 Y 3.19, 3 Cd 3.21, 6 Hg 3.25-3.35
Hg: 0.3901 0.0766 0.8278  4 Cd 2.94-3.17, 1 Y 3.06, 2 Hg 3.18-3.25
Hg: 0.6099 0.9234 0.1722  4 Cd 2.94-3.17, 1 Y 3.06, 2 Hg 3.18-3.25
Hg: 0.7785 0.7785 0.7785  1 Y 3.19, 3 Cd 3.21, 6 Hg 3.25-3.35
Hg: 0.8278 0.3901 0.0766  4 Cd 2.94-3.17, 1 Y 3.06, 2 Hg 3.18-3.25
Hg: 0.9234 0.1722 0.6099  4 Cd 2.94-3.17, 1 Y 3.06, 2 Hg 3.18-3.25

=====

Entry 2:
YCd3Hg6: relaxed, PBE.

## Properties
distance to the lowest polymorph of the same formula: 0.0000 eV/atom
symmetry: No. 11
formation enthalpy at 0 K: -0.119 eV/atom
density of states at the Fermi level: 0.427 states/eV per atom
total magnetization: 0.000 μB/atom

a b c (Å): 8.7757 4.9172 11.7898
angles (deg): 90.00 108.06 90.00
Last column: nearest neighbours and their distance in Å.
Atoms (fractional coordinates):
Y: 0.0820 0.2500 0.3870  10 Hg 3.14-3.38, 1 Cd 3.38
Y: 0.9180 0.7500 0.6130  10 Hg 3.14-3.38, 1 Cd 3.38
Cd: 0.2559 0.2500 0.9814  7 Hg 3.01-3.21, 2 Cd 3.16
Cd: 0.3091 0.7500 0.8296  8 Hg 3.03-3.25, 2 Cd 3.16
Cd: 0.4661 0.2500 0.5672  2 Cd 3.08, 8 Hg 3.09-3.39, 1 Y 3.38
Cd: 0.5339 0.7500 0.4328  2 Cd 3.08, 8 Hg 3.09-3.39, 1 Y 3.38
Cd: 0.6909 0.2500 0.1704  8 Hg 3.03-3.25, 2 Cd 3.16
Cd: 0.7441 0.7500 0.0186  7 Hg 3.01-3.21, 2 Cd 3.16
Hg: 0.0144 0.7500 0.9121  4 Cd 3.01-3.18, 4 Hg 3.13-3.28, 1 Y 3.36
Hg: 0.1556 0.7500 0.2399  7 Hg 3.13-3.42, 2 Y 3.19, 1 Cd 3.39
Hg: 0.1663 0.2500 0.6809  4 Cd 3.05-3.38, 3 Hg 3.14-3.24, 3 Y 3.22-3.31
Hg: 0.2457 0.7500 0.5432  4 Cd 3.09-3.25, 3 Y 3.14-3.23, 4 Hg 3.14-3.42
Hg: 0.3867 0.2500 0.2679  6 Hg 3.14-3.50, 5 Cd 3.15-3.38, 1 Y 3.38
Hg: 0.4515 0.7500 0.1155  6 Cd 3.12-3.21, 4 Hg 3.20-3.47
Hg: 0.5485 0.2500 0.8845  6 Cd 3.12-3.21, 4 Hg 3.20-3.47
Hg: 0.6133 0.7500 0.7321  6 Hg 3.14-3.50, 5 Cd 3.15-3.38, 1 Y 3.38
Hg: 0.7543 0.2500 0.4568  4 Cd 3.09-3.25, 3 Y 3.14-3.23, 4 Hg 3.14-3.42
Hg: 0.8337 0.7500 0.3191  4 Cd 3.05-3.38, 3 Hg 3.14-3.24, 3 Y 3.22-3.31
Hg: 0.8444 0.2500 0.7601  7 Hg 3.13-3.42, 2 Y 3.19, 1 Cd 3.39
Hg: 0.9856 0.2500 0.0879  4 Cd 3.01-3.18, 4 Hg 3.13-3.28, 1 Y 3.36

=====

Entry 3:
YCd3Hg6: relaxed, PBE.

## Properties
distance to the lowest polymorph of the same formula: 0.0246 eV/atom
symmetry: No. 36
formation enthalpy at 0 K: -0.095 eV/atom
density of states at the Fermi level: 0.470 states/eV per atom
total magnetization: 0.000 μB/atom

a b c (Å): 8.9238 8.9238 7.5047
angles (deg): 90.00 90.00 122.06
Last column: nearest neighbours and their distance in Å.
Atoms (fractional coordinates):
Y: 0.1931 0.8069 0.5000  8 Hg 3.13-3.27, 3 Cd 3.41-3.47
Y: 0.8069 0.1931 0.0000  8 Hg 3.13-3.27, 3 Cd 3.41-3.47
Cd: 0.0390 0.3040 0.3900  2 Cd 2.97-3.00, 6 Hg 3.03-3.30
Cd: 0.3040 0.0390 0.8900  2 Cd 2.97-3.00, 6 Hg 3.03-3.30
Cd: 0.4147 0.5853 0.4751  5 Hg 2.92-3.18, 2 Cd 3.00
Cd: 0.5853 0.4147 0.9751  5 Hg 2.92-3.18, 2 Cd 3.00
Cd: 0.6960 0.9610 0.3900  2 Cd 2.97-3.00, 6 Hg 3.03-3.30
Cd: 0.9610 0.6960 0.8900  2 Cd 2.97-3.00, 6 Hg 3.03-3.30
Hg: 0.0402 0.9598 0.2298  1 Y 3.13, 6 Hg 3.15-3.50, 4 Cd 3.28-3.30
Hg: 0.1238 0.4939 0.7535  4 Hg 2.98-3.34, 3 Cd 3.03-3.09, 2 Y 3.16-3.25
Hg: 0.2255 0.3295 0.0364  3 Cd 2.92-3.22, 3 Hg 2.98-3.19
Hg: 0.2920 0.7080 0.1371  1 Y 3.13, 3 Cd 3.18-3.44, 6 Hg 3.19-3.34
Hg: 0.3295 0.2255 0.5364  3 Cd 2.92-3.22, 3 Hg 2.98-3.19
Hg: 0.4939 0.1238 0.2535  4 Hg 2.98-3.34, 3 Cd 3.03-3.09, 2 Y 3.16-3.25
Hg: 0.5061 0.8762 0.7535  4 Hg 2.98-3.34, 3 Cd 3.03-3.09, 2 Y 3.16-3.25
Hg: 0.6705 0.7745 0.0364  3 Cd 2.92-3.22, 3 Hg 2.98-3.19
Hg: 0.7080 0.2920 0.6371  1 Y 3.13, 3 Cd 3.18-3.44, 6 Hg 3.19-3.34
Hg: 0.7745 0.6705 0.5364  3 Cd 2.92-3.22, 3 Hg 2.98-3.19
Hg: 0.8762 0.5061 0.2535  4 Hg 2.98-3.34, 3 Cd 3.03-3.09, 2 Y 3.16-3.25
Hg: 0.9598 0.0402 0.7298  1 Y 3.13, 6 Hg 3.15-3.50, 4 Cd 3.28-3.30

=====

Entry 4:
Y2Cd3Hg2: relaxed, PBE.

## Properties
symmetry: No. 12
formation enthalpy at 0 K: -0.269 eV/atom
density of states at the Fermi level: 0.680 states/eV per atom
total magnetization: 0.000 μB/atom

a b c (Å): 5.9956 5.9956 7.2957
angles (deg): 96.05 96.05 42.26
Last column: nearest neighbours and their distance in Å.
Atoms (fractional coordinates):
Y: 0.1193 0.1193 0.3293  5 Hg 3.06-3.35, 2 Cd 3.39
Y: 0.8807 0.8807 0.6707  5 Hg 3.06-3.35, 2 Cd 3.39
Cd: 0.1931 0.1931 0.8816  2 Hg 2.90, 4 Cd 2.96-3.24
Cd: 0.5000 0.5000 0.0000  2 Hg 3.02, 4 Cd 3.24
Cd: 0.8069 0.8069 0.1184  2 Hg 2.90, 4 Cd 2.96-3.24
Hg: 0.3943 0.3943 0.3637  3 Cd 2.90-3.02, 1 Hg 2.91, 3 Y 3.06-3.13
Hg: 0.6057 0.6057 0.6363  3 Cd 2.90-3.02, 1 Hg 2.91, 3 Y 3.06-3.13

=====

no.,energy (hartree per atom)
1,-0.0364
2,-0.0449
3,-0.0440
4,-0.0953